VCdF5 after structural relaxation. Source: Alexandria via LeMat-Bulk, functional PBE with a Hubbard U.

Cell: 3.9640 6.6172 8.2031 Å, 90.00 90.00 90.00°
Space group Immm (No. 71)
Unique sites:
V: 0.0000 0.0000 0.0000
Cd: 0.0000 0.0000 0.5000
F: 0.0000 0.0000 0.2365
F: 0.0000 0.2982 0.0000
F: 0.0000 0.5000 0.5000

Summary:
* magnetic moment: 4.00 μB per cell
* calculated density: 3.99 Mg/m³
* E: -5.10 eV/atom
* crystal system: orthorhombic